VASP calculation (PBE) on a relaxed Hg2AuCl crystal.

abc: 7.2692 3.9251 7.8651
angles: 90.00 113.74 90.00
Space group C2/m (No. 12)
Asymmetric unit:
Hg 0.2356 0.0000 0.2742 x4
Au 0.0000 0.0000 0.5000 x2
Cl 0.0000 0.5000 0.0000 x2

Properties
offset from the most stable computed form: 0.000 eV per atom
formation energy from raw total energies: -0.125 eV per atom